No. 1
# PBE Ca2Be3Ge4Pd, optimized geometry
data_Ca2Be3Ge4Pd
_cell_length_a 4.087
_cell_length_b 4.087
_cell_length_c 10.088
_cell_angle_alpha 90.00
_cell_angle_beta 90.00
_cell_angle_gamma 90.00
_space_group_name_H-M_alt 'P -4 m 2'
_space_group_IT_number 115
_space_group_name_Hall 'P -4 -2'
loop_
_atom_site_label
_atom_site_type_symbol
_atom_site_fract_x
_atom_site_fract_y
_atom_site_fract_z
Ca1 Ca 0.000 0.500 0.247
Be1 Be 0.000 0.500 0.870
Be2 Be 0.500 0.500 0.500
Ge1 Ge 0.000 0.000 0.000
Ge2 Ge 0.000 0.500 0.642
Ge3 Ge 0.500 0.500 0.000
Pd1 Pd 0.000 0.000 0.500
# - Crystal system: tetragonal
# - Calculated density: 4.97 g/cm³
# - Final energy: -42.35 eV/cell
# - ΔE_f: -0.350 eV per atom
# - N(E_F): 2.3 states/eV/cell

=====

No. 2
# PBE Ca2BeGePd6, optimized geometry
data_Ca2BeGePd6
_cell_length_a 5.956
_cell_length_b 5.996
_cell_length_c 6.907
_cell_angle_alpha 65.07
_cell_angle_beta 64.54
_cell_angle_gamma 60.26
_space_group_name_H-M_alt 'P -1'
_space_group_IT_number 2
_space_group_name_Hall '-P 1'
loop_
_atom_site_label
_atom_site_type_symbol
_atom_site_fract_x
_atom_site_fract_y
_atom_site_fract_z
Ca1 Ca 0.227 0.231 0.316
Be1 Be 0.000 0.000 0.000
Ge1 Ge 0.500 0.500 0.500
Pd1 Pd 0.240 0.697 0.821
Pd2 Pd 0.242 0.236 0.808
Pd3 Pd 0.288 0.764 0.191
# - Crystal system: triclinic
# - Calculated density: 7.13 g/cm³
# - Final energy: -49.23 eV/cell
# - ΔE_f: -0.573 eV per atom
# - N(E_F): 4.3 states/eV/cell

=====

No. 3
# PBE Ca2BeGePt6, optimized geometry
data_Ca2BeGePt6
_cell_length_a 5.7715
_cell_length_b 5.7715
_cell_length_c 19.2075
_cell_angle_alpha 90.00
_cell_angle_beta 90.00
_cell_angle_gamma 120.00
_space_group_name_H-M_alt 'R -3 m'
_space_group_IT_number 166
_space_group_name_Hall '-R 3 2"'
loop_
_atom_site_label
_atom_site_type_symbol
_atom_site_fract_x
_atom_site_fract_y
_atom_site_fract_z
Ca1 Ca 0.0000 0.0000 0.2135
Be1 Be 0.0000 0.0000 0.0000
Ge1 Ge 0.0000 0.0000 0.5000
Pt1 Pt 0.0156 0.5078 0.2675
# - Crystal system: trigonal
# - Calculated density: 11.98 g/cm³
# - Final energy: -165.82 eV/cell
# - ΔE_f: -0.668 eV per atom
# - N(E_F): 9.5 states/eV/cell

=====

No. 4
# PBE Ca2BeGe3Pt4, optimized geometry
data_Ca2BeGe3Pt4
_cell_length_a 4.218
_cell_length_b 4.218
_cell_length_c 10.341
_cell_angle_alpha 90.00
_cell_angle_beta 90.00
_cell_angle_gamma 90.00
_space_group_name_H-M_alt 'P -4 m 2'
_space_group_IT_number 115
_space_group_name_Hall 'P -4 -2'
loop_
_atom_site_label
_atom_site_type_symbol
_atom_site_fract_x
_atom_site_fract_y
_atom_site_fract_z
Ca1 Ca 0.000 0.500 0.241
Be1 Be 0.500 0.500 0.000
Ge1 Ge 0.000 0.000 0.000
Ge2 Ge 0.000 0.500 0.638
Pt1 Pt 0.000 0.000 0.500
Pt2 Pt 0.000 0.500 0.877
Pt3 Pt 0.500 0.500 0.500
# - Crystal system: tetragonal
# - Calculated density: 9.82 g/cm³
# - Final energy: -53.51 eV/cell
# - ΔE_f: -0.777 eV per atom
# - N(E_F): 7.1 states/eV/cell

=====

No. 5
# PBE Ca2Be3GePt4, optimized geometry
data_Ca2Be3GePt4
_cell_length_a 4.095
_cell_length_b 4.095
_cell_length_c 9.783
_cell_angle_alpha 90.00
_cell_angle_beta 90.00
_cell_angle_gamma 90.00
_space_group_name_H-M_alt 'P -4 m 2'
_space_group_IT_number 115
_space_group_name_Hall 'P -4 -2'
loop_
_atom_site_label
_atom_site_type_symbol
_atom_site_fract_x
_atom_site_fract_y
_atom_site_fract_z
Ca1 Ca 0.000 0.500 0.241
Be1 Be 0.000 0.500 0.882
Be2 Be 0.500 0.500 0.500
Ge1 Ge 0.000 0.000 0.500
Pt1 Pt 0.000 0.000 0.000
Pt2 Pt 0.000 0.500 0.640
Pt3 Pt 0.500 0.500 0.000
# - Crystal system: tetragonal
# - Calculated density: 9.72 g/cm³
# - Final energy: -51.77 eV/cell
# - ΔE_f: -0.781 eV per atom
# - N(E_F): 3.5 states/eV/cell

=====

No. 6
# PBE CaBeGePt3, optimized geometry
data_CaBeGePt3
_cell_length_a 6.473
_cell_length_b 11.915
_cell_length_c 5.597
_cell_angle_alpha 90.00
_cell_angle_beta 90.00
_cell_angle_gamma 90.00
_space_group_name_H-M_alt 'C m c m'
_space_group_IT_number 63
_space_group_name_Hall '-C 2c 2'
loop_
_atom_site_label
_atom_site_type_symbol
_atom_site_fract_x
_atom_site_fract_y
_atom_site_fract_z
Ca1 Ca 0.000 0.225 0.250
Be1 Be 0.000 0.480 0.250
Ge1 Ge 0.000 0.128 0.750
Pt1 Pt 0.000 0.328 0.750
Pt2 Pt 0.227 0.000 0.000
# - Crystal system: orthorhombic
# - Calculated density: 10.88 g/cm³
# - Final energy: -129.54 eV/cell
# - ΔE_f: -0.653 eV per atom
# - N(E_F): 8.2 states/eV/cell

=====

No. 7
# PBE Ca2Be3Ge4Pt, optimized geometry
data_Ca2Be3Ge4Pt
_cell_length_a 4.074
_cell_length_b 4.074
_cell_length_c 10.127
_cell_angle_alpha 90.00
_cell_angle_beta 90.00
_cell_angle_gamma 90.00
_space_group_name_H-M_alt 'P -4 m 2'
_space_group_IT_number 115
_space_group_name_Hall 'P -4 -2'
loop_
_atom_site_label
_atom_site_type_symbol
_atom_site_fract_x
_atom_site_fract_y
_atom_site_fract_z
Ca1 Ca 0.000 0.500 0.247
Be1 Be 0.000 0.500 0.871
Be2 Be 0.500 0.500 0.500
Ge1 Ge 0.000 0.000 0.000
Ge2 Ge 0.000 0.500 0.644
Ge3 Ge 0.500 0.500 0.000
Pt1 Pt 0.000 0.000 0.500
# - Crystal system: tetragonal
# - Calculated density: 5.86 g/cm³
# - Final energy: -43.43 eV/cell
# - ΔE_f: -0.373 eV per atom
# - N(E_F): 3.0 states/eV/cell

=====

No. 8
# PBE CaBeReGe2, optimized geometry
data_CaBeReGe2
_cell_length_a 4.487
_cell_length_b 4.487
_cell_length_c 4.367
_cell_angle_alpha 90.00
_cell_angle_beta 90.00
_cell_angle_gamma 90.00
_space_group_name_H-M_alt 'P 4/m m m'
_space_group_IT_number 123
_space_group_name_Hall '-P 4 2'
loop_
_atom_site_label
_atom_site_type_symbol
_atom_site_fract_x
_atom_site_fract_y
_atom_site_fract_z
Ca1 Ca 0.000 0.000 0.000
Be1 Be 0.500 0.500 0.500
Re1 Re 0.500 0.500 0.000
Ge1 Ge 0.000 0.500 0.500
# - Crystal system: tetragonal
# - Calculated density: 7.19 g/cm³
# - Final energy: -24.76 eV/cell
# - ΔE_f: 0.531 eV per atom
# - N(E_F): 5.3 states/eV/cell

=====

No. 9
# PBE Ca2BeGe2Rh5, optimized geometry
data_Ca2BeGe2Rh5
_cell_length_a 10.089
_cell_length_b 10.089
_cell_length_c 3.155
_cell_angle_alpha 90.00
_cell_angle_beta 90.00
_cell_angle_gamma 90.00
_space_group_name_H-M_alt 'P 4/m b m'
_space_group_IT_number 127
_space_group_name_Hall '-P 4 2ab'
loop_
_atom_site_label
_atom_site_type_symbol
_atom_site_fract_x
_atom_site_fract_y
_atom_site_fract_z
Ca1 Ca 0.170 0.330 0.000
Be1 Be 0.000 0.000 0.000
Ge1 Ge 0.134 0.634 0.000
Rh1 Rh 0.000 0.500 0.500
Rh2 Rh 0.062 0.809 0.500
# - Crystal system: tetragonal
# - Calculated density: 7.75 g/cm³
# - Final energy: -118.20 eV/cell
# - ΔE_f: -0.538 eV per atom
# - N(E_F): 6.3 states/eV/cell

=====

No. 10
# PBE CaBeGe2Rh, optimized geometry
data_CaBeGe2Rh
_cell_length_a 4.016
_cell_length_b 4.016
_cell_length_c 10.746
_cell_angle_alpha 90.00
_cell_angle_beta 90.00
_cell_angle_gamma 90.00
_space_group_name_H-M_alt 'I -4 m 2'
_space_group_IT_number 119
_space_group_name_Hall 'I -4 -2'
loop_
_atom_site_label
_atom_site_type_symbol
_atom_site_fract_x
_atom_site_fract_y
_atom_site_fract_z
Ca1 Ca 0.000 0.000 0.000
Be1 Be 0.000 0.500 0.750
Ge1 Ge 0.000 0.000 0.379
Rh1 Rh 0.000 0.500 0.250
# - Crystal system: tetragonal
# - Calculated density: 5.70 g/cm³
# - Final energy: -49.32 eV/cell
# - ΔE_f: -0.469 eV per atom
# - N(E_F): 4.9 states/eV/cell

=====

No. 11
# PBE Ca2TaBeGe, optimized geometry
data_Ca2TaBeGe
_cell_length_a 5.458
_cell_length_b 5.458
_cell_length_c 4.071
_cell_angle_alpha 90.00
_cell_angle_beta 90.00
_cell_angle_gamma 90.00
_space_group_name_H-M_alt 'P 4/m m m'
_space_group_IT_number 123
_space_group_name_Hall '-P 4 2'
loop_
_atom_site_label
_atom_site_type_symbol
_atom_site_fract_x
_atom_site_fract_y
_atom_site_fract_z
Ca1 Ca 0.000 0.500 0.000
Ta1 Ta 0.000 0.000 0.500
Be1 Be 0.500 0.500 0.000
Ge1 Ge 0.500 0.500 0.500
# - Crystal system: tetragonal
# - Calculated density: 4.69 g/cm³
# - Final energy: -20.39 eV/cell
# - ΔE_f: 0.763 eV per atom
# - N(E_F): 4.5 states/eV/cell

=====

No. 12
# PBE Ca2BeGeTe, optimized geometry
data_Ca2BeGeTe
_cell_length_a 5.643
_cell_length_b 5.643
_cell_length_c 4.039
_cell_angle_alpha 90.00
_cell_angle_beta 90.00
_cell_angle_gamma 90.00
_space_group_name_H-M_alt 'P 4/m m m'
_space_group_IT_number 123
_space_group_name_Hall '-P 4 2'
loop_
_atom_site_label
_atom_site_type_symbol
_atom_site_fract_x
_atom_site_fract_y
_atom_site_fract_z
Ca1 Ca 0.000 0.500 0.000
Be1 Be 0.000 0.000 0.000
Ge1 Ge 0.000 0.000 0.500
Te1 Te 0.500 0.500 0.500
# - Crystal system: tetragonal
# - Calculated density: 3.74 g/cm³
# - Final energy: -18.06 eV/cell
# - ΔE_f (raw): -0.51 eV/atom
# - N(E_F): 0.6 states/eV/cell

=====

no.,spin magnetization (Bohr magnetons per cell)
1,0.00
2,0.00
3,0.00
4,0.00
5,0.00
6,0.00
7,0.00
8,0.00
9,0.00
10,0.00
11,3.36
12,0.00